(A)
# CeNpIr, optimized geometry, DFT PBE
data_CeNpIr
_symmetry_space_group_name_H-M 'P 1'
_symmetry_Int_Tables_number 1
_cell_length_a 4.998
_cell_length_b 5.488
_cell_length_c 5.487
_cell_angle_alpha 62.05
_cell_angle_beta 62.91
_cell_angle_gamma 62.91
loop_
_symmetry_equiv_pos_as_xyz
'x,y,z'
loop_
_atom_site_label
_atom_site_type_symbol
_atom_site_fract_x
_atom_site_fract_y
_atom_site_fract_z
Np1 Np 0.352 0.647 0.648
Np2 Np 0.648 0.353 0.352
Ce1 Ce 0.678 0.822 0.822
Ce2 Ce 0.322 0.178 0.178
Ir1 Ir 0.000 0.755 0.246
Ir2 Ir 0.000 0.245 0.754
# ρ   16.8 g/cm3
# Symmetry   Immm (71)

---

(B)
# CeNpIr, optimized geometry, DFT PBE
data_CeNpIr
_symmetry_space_group_name_H-M 'P 1'
_symmetry_Int_Tables_number 1
_cell_length_a 3.557
_cell_length_b 3.557
_cell_length_c 5.587
_cell_angle_alpha 108.56
_cell_angle_beta 108.56
_cell_angle_gamma 90.00
loop_
_symmetry_equiv_pos_as_xyz
'x,y,z'
loop_
_atom_site_label
_atom_site_type_symbol
_atom_site_fract_x
_atom_site_fract_y
_atom_site_fract_z
Ce1 Ce 0.003 0.003 0.007
Np1 Np 0.323 0.323 0.646
Ir1 Ir 0.674 0.674 0.347
# ρ   15.0 g/cm3
# Symmetry   I4mm (107)

---

It is (A) that is the least stable of them.

---

(A)
# Ce2IrOs, optimized geometry, DFT PBE
data_Ce2IrOs
_symmetry_space_group_name_H-M 'P 1'
_symmetry_Int_Tables_number 1
_cell_length_a 3.419
_cell_length_b 3.419
_cell_length_c 7.183
_cell_angle_alpha 90.00
_cell_angle_beta 90.00
_cell_angle_gamma 90.00
loop_
_symmetry_equiv_pos_as_xyz
'x,y,z'
loop_
_atom_site_label
_atom_site_type_symbol
_atom_site_fract_x
_atom_site_fract_y
_atom_site_fract_z
Ir1 Ir 0.500 0.500 0.500
Os1 Os 0.500 0.500 0.000
Ce1 Ce 0.000 0.000 0.250
Ce2 Ce 0.000 0.000 0.750
# ρ   13.1 g/cm3
# Symmetry   P4/mmm (123)

---

(B)
# Ce2IrOs, optimized geometry, DFT PBE
data_Ce2IrOs
_symmetry_space_group_name_H-M 'P 1'
_symmetry_Int_Tables_number 1
_cell_length_a 4.918
_cell_length_b 4.918
_cell_length_c 4.918
_cell_angle_alpha 60.00
_cell_angle_beta 60.00
_cell_angle_gamma 60.00
loop_
_symmetry_equiv_pos_as_xyz
'x,y,z'
loop_
_atom_site_label
_atom_site_type_symbol
_atom_site_fract_x
_atom_site_fract_y
_atom_site_fract_z
Ir1 Ir 0.500 0.500 0.500
Ce1 Ce 0.250 0.250 0.250
Ce2 Ce 0.750 0.750 0.750
Os1 Os 0.000 0.000 0.000
# ρ   13.1 g/cm3
# Symmetry   Fm-3m (225)

---

It is (B) that is the least stable of them.

---

(A)
# Ce4IrOs, optimized geometry, DFT PBE
data_Ce4IrOs
_symmetry_space_group_name_H-M 'P 1'
_symmetry_Int_Tables_number 1
_cell_length_a 6.004
_cell_length_b 7.342
_cell_length_c 7.342
_cell_angle_alpha 111.75
_cell_angle_beta 97.74
_cell_angle_gamma 97.74
loop_
_symmetry_equiv_pos_as_xyz
'x,y,z'
loop_
_atom_site_label
_atom_site_type_symbol
_atom_site_fract_x
_atom_site_fract_y
_atom_site_fract_z
Ce1 Ce 0.920 0.609 0.772
Ce2 Ce 0.460 0.700 0.068
Ce3 Ce 0.960 0.068 0.700
Ce4 Ce 0.540 0.300 0.932
Ce5 Ce 0.080 0.391 0.228
Ce6 Ce 0.580 0.228 0.391
Ce7 Ce 0.040 0.932 0.300
Ce8 Ce 0.420 0.772 0.609
Os1 Os 0.750 0.998 0.002
Os2 Os 0.250 0.002 0.998
Ir1 Ir 0.750 0.620 0.380
Ir2 Ir 0.250 0.380 0.620
# ρ   10.7 g/cm3
# Symmetry   C2/c (15)

---

(B)
# Ce4IrOs, optimized geometry, DFT PBE
data_Ce4IrOs
_symmetry_space_group_name_H-M 'P 1'
_symmetry_Int_Tables_number 1
_cell_length_a 6.674
_cell_length_b 7.219
_cell_length_c 8.721
_cell_angle_alpha 120.81
_cell_angle_beta 107.23
_cell_angle_gamma 104.89
loop_
_symmetry_equiv_pos_as_xyz
'x,y,z'
loop_
_atom_site_label
_atom_site_type_symbol
_atom_site_fract_x
_atom_site_fract_y
_atom_site_fract_z
Ce1 Ce 0.050 0.793 0.034
Ce2 Ce 0.445 0.701 0.964
Ce3 Ce 0.799 0.043 0.535
Ce4 Ce 0.307 0.549 0.535
Ce5 Ce 0.693 0.451 0.465
Ce6 Ce 0.555 0.299 0.036
Ce7 Ce 0.201 0.957 0.465
Ce8 Ce 0.950 0.207 0.966
Ir1 Ir 0.125 0.874 0.748
Ir2 Ir 0.875 0.126 0.252
Os1 Os 0.375 0.624 0.249
Os2 Os 0.625 0.376 0.751
# ρ   10.5 g/cm3
# Symmetry   P-1 (2)

---

It is (B) that is the least stable of them.

---

(A)
# Ce3IrOs, optimized geometry, DFT PBE
data_Ce3IrOs
_symmetry_space_group_name_H-M 'P 1'
_symmetry_Int_Tables_number 1
_cell_length_a 7.027
_cell_length_b 8.372
_cell_length_c 8.372
_cell_angle_alpha 74.51
_cell_angle_beta 83.37
_cell_angle_gamma 83.37
loop_
_symmetry_equiv_pos_as_xyz
'x,y,z'
loop_
_atom_site_label
_atom_site_type_symbol
_atom_site_fract_x
_atom_site_fract_y
_atom_site_fract_z
Ce1 Ce 0.493 0.059 0.695
Ce2 Ce 0.507 0.941 0.305
Ce3 Ce 0.940 0.410 0.364
Ce4 Ce 0.557 0.690 0.038
Ce5 Ce 0.943 0.962 0.310
Ce6 Ce 0.440 0.364 0.410
Ce7 Ce 0.560 0.636 0.590
Ce8 Ce 0.057 0.038 0.690
Ce9 Ce 0.007 0.305 0.941
Ce10 Ce 0.993 0.695 0.059
Ce11 Ce 0.443 0.310 0.962
Ce12 Ce 0.060 0.590 0.636
Ir1 Ir 0.250 0.687 0.313
Ir2 Ir 0.250 0.991 0.009
Ir3 Ir 0.750 0.009 0.991
Ir4 Ir 0.750 0.313 0.687
Os1 Os 0.290 0.692 0.829
Os2 Os 0.790 0.829 0.692
Os3 Os 0.710 0.308 0.171
Os4 Os 0.210 0.171 0.308
# ρ   11.4 g/cm3
# Symmetry   C2/c (15)

---

(B)
# Ce3IrOs, optimized geometry, DFT PBE
data_Ce3IrOs
_symmetry_space_group_name_H-M 'P 1'
_symmetry_Int_Tables_number 1
_cell_length_a 8.084
_cell_length_b 7.330
_cell_length_c 8.601
_cell_angle_alpha 90.00
_cell_angle_beta 74.84
_cell_angle_gamma 90.00
loop_
_symmetry_equiv_pos_as_xyz
'x,y,z'
loop_
_atom_site_label
_atom_site_type_symbol
_atom_site_fract_x
_atom_site_fract_y
_atom_site_fract_z
Os1 Os 0.480 0.806 0.553
Os2 Os 0.020 0.306 0.447
Os3 Os 0.520 0.194 0.447
Os4 Os 0.980 0.694 0.553
Ce1 Ce 0.996 0.186 0.147
Ce2 Ce 0.110 0.653 0.206
Ce3 Ce 0.389 0.153 0.794
Ce4 Ce 0.723 0.498 0.451
Ce5 Ce 0.611 0.847 0.206
Ce6 Ce 0.223 0.002 0.451
Ce7 Ce 0.890 0.347 0.794
Ce8 Ce 0.504 0.686 0.853
Ce9 Ce 0.496 0.314 0.147
Ce10 Ce 0.004 0.814 0.853
Ce11 Ce 0.277 0.502 0.549
Ce12 Ce 0.777 0.998 0.549
Ir1 Ir 0.807 0.538 0.089
Ir2 Ir 0.307 0.962 0.089
Ir3 Ir 0.193 0.462 0.911
Ir4 Ir 0.693 0.038 0.911
# ρ   10.8 g/cm3
# Symmetry   P2_1/c (14)

---

It is (A) that is the least stable of them.

---

(A)
# Ce8Ir2Os, optimized geometry, DFT PBE
data_Ce8Ir2Os
_symmetry_space_group_name_H-M 'P 1'
_symmetry_Int_Tables_number 1
_cell_length_a 4.654
_cell_length_b 6.761
_cell_length_c 9.221
_cell_angle_alpha 109.43
_cell_angle_beta 104.62
_cell_angle_gamma 90.00
loop_
_symmetry_equiv_pos_as_xyz
'x,y,z'
loop_
_atom_site_label
_atom_site_type_symbol
_atom_site_fract_x
_atom_site_fract_y
_atom_site_fract_z
Ce1 Ce 0.801 0.691 0.602
Ce2 Ce 0.670 0.023 0.340
Ce3 Ce 0.410 0.512 0.819
Ce4 Ce 0.005 0.758 0.011
Ce5 Ce 0.330 0.977 0.660
Ce6 Ce 0.995 0.242 0.989
Ce7 Ce 0.590 0.488 0.181
Ce8 Ce 0.199 0.309 0.398
Os1 Os 0.500 0.000 0.000
Ir1 Ir 0.163 0.743 0.327
Ir2 Ir 0.837 0.257 0.673
# ρ   10.7 g/cm3
# Symmetry   C2/m (12)

---

(B)
# Ce8Ir2Os, optimized geometry, DFT PBE
data_Ce8Ir2Os
_symmetry_space_group_name_H-M 'P 1'
_symmetry_Int_Tables_number 1
_cell_length_a 5.723
_cell_length_b 7.469
_cell_length_c 7.469
_cell_angle_alpha 115.51
_cell_angle_beta 100.35
_cell_angle_gamma 100.35
loop_
_symmetry_equiv_pos_as_xyz
'x,y,z'
loop_
_atom_site_label
_atom_site_type_symbol
_atom_site_fract_x
_atom_site_fract_y
_atom_site_fract_z
Ce1 Ce 0.418 0.705 0.920
Ce2 Ce 0.418 0.920 0.705
Ce3 Ce 0.161 0.369 0.369
Ce4 Ce 0.582 0.301 0.086
Ce5 Ce 0.000 0.224 0.782
Ce6 Ce 0.839 0.637 0.637
Ce7 Ce 0.000 0.782 0.224
Ce8 Ce 0.582 0.086 0.301
Ir1 Ir 0.500 0.315 0.691
Ir2 Ir 0.500 0.691 0.315
Os1 Os 0.000 0.003 0.003
# ρ   10.4 g/cm3
# Symmetry   C2/m (12)

---

It is (B) that is the least stable of them.

---

(A)
# Ce3P4Ir2, optimized geometry, DFT PBE
data_Ce3P4Ir2
_symmetry_space_group_name_H-M 'P 1'
_symmetry_Int_Tables_number 1
_cell_length_a 4.188
_cell_length_b 5.681
_cell_length_c 7.942
_cell_angle_alpha 98.86
_cell_angle_beta 90.00
_cell_angle_gamma 111.63
loop_
_symmetry_equiv_pos_as_xyz
'x,y,z'
loop_
_atom_site_label
_atom_site_type_symbol
_atom_site_fract_x
_atom_site_fract_y
_atom_site_fract_z
Ce1 Ce 0.000 0.000 0.000
Ce2 Ce 0.666 0.332 0.672
Ce3 Ce 0.334 0.668 0.328
Ir1 Ir 0.611 0.222 0.286
Ir2 Ir 0.389 0.778 0.714
P1 P 0.944 0.888 0.613
P2 P 0.056 0.112 0.387
P3 P 0.276 0.553 0.946
P4 P 0.724 0.447 0.054
# ρ   8.9 g/cm3
# Symmetry   C2/m (12)

---

(B)
# Ce3P4Ir2, optimized geometry, DFT PBE
data_Ce3P4Ir2
_symmetry_space_group_name_H-M 'P 1'
_symmetry_Int_Tables_number 1
_cell_length_a 4.055
_cell_length_b 6.268
_cell_length_c 8.443
_cell_angle_alpha 117.80
_cell_angle_beta 90.00
_cell_angle_gamma 108.87
loop_
_symmetry_equiv_pos_as_xyz
'x,y,z'
loop_
_atom_site_label
_atom_site_type_symbol
_atom_site_fract_x
_atom_site_fract_y
_atom_site_fract_z
P1 P 0.314 0.627 0.902
P2 P 0.912 0.824 0.610
P3 P 0.088 0.176 0.390
P4 P 0.686 0.373 0.098
Ir1 Ir 0.681 0.361 0.372
Ir2 Ir 0.319 0.639 0.628
Ce1 Ce 0.631 0.262 0.725
Ce2 Ce 0.369 0.738 0.275
Ce3 Ce 0.000 0.000 0.000
# ρ   8.7 g/cm3
# Symmetry   C2/m (12)

---

It is (A) that is the least stable of them.